(1)
Ga2CuHgS4 | GGA-PBE | optimized geometry

```
data_Ga2CuHgS4
_cell_length_a 7.818
_cell_length_b 8.255
_cell_length_c 10.963
_cell_angle_alpha 90.00
_cell_angle_beta 90.00
_cell_angle_gamma 90.00
_space_group_name_H-M_alt 'F m m 2'
_space_group_IT_number 42
_space_group_name_Hall 'F 2 -2'
loop_
_atom_site_label
_atom_site_type_symbol
_atom_site_fract_x
_atom_site_fract_y
_atom_site_fract_z
Ga1 Ga 0.250 0.250 0.000
Cu1 Cu 0.000 0.000 0.254
Hg1 Hg 0.000 0.000 0.749
S1 S 0.000 0.228 0.129
S2 S 0.231 0.000 0.389
```

Values from the calculation:
As for the total energy: -3.74 eV/atom.


(2)
Sc12Co5Hg | GGA-PBE | optimized geometry

```
data_Sc12Co5Hg
_cell_length_a 8.604
_cell_length_b 8.702
_cell_length_c 9.246
_cell_angle_alpha 90.00
_cell_angle_beta 90.00
_cell_angle_gamma 90.00
_space_group_name_H-M_alt 'I m m m'
_space_group_IT_number 71
_space_group_name_Hall '-I 2 2'
loop_
_atom_site_label
_atom_site_type_symbol
_atom_site_fract_x
_atom_site_fract_y
_atom_site_fract_z
Sc1 Sc 0.000 0.195 0.179
Sc2 Sc 0.181 0.225 0.500
Sc3 Sc 0.192 0.500 0.273
Co1 Co 0.000 0.000 0.380
Co2 Co 0.000 0.500 0.500
Co3 Co 0.149 0.000 0.000
Hg1 Hg 0.000 0.500 0.000
```

Values from the calculation:
The formation energy from the elements comes out at -5.55 eV/f.u.


(3)
In2Co2Cu | GGA-PBE | optimized geometry

```
data_In2Co2Cu
_cell_length_a 14.392
_cell_length_b 4.227
_cell_length_c 5.125
_cell_angle_alpha 90.00
_cell_angle_beta 91.04
_cell_angle_gamma 90.00
_space_group_name_H-M_alt 'C 1 m 1'
_space_group_IT_number 8
loop_
_space_group_symop_operation_xyz
'x,y,z'
'x,-y,z'
'x+1/2,y+1/2,z'
'x+1/2,-y+1/2,z'
loop_
_atom_site_label
_atom_site_type_symbol
_atom_site_fract_x
_atom_site_fract_y
_atom_site_fract_z
In1 In 0.000 0.000 0.000
In2 In 0.055 0.500 0.487
In3 In 0.213 0.000 0.229
In4 In 0.345 0.000 0.718
Co1 Co 0.137 0.500 0.984
Co2 Co 0.237 0.500 0.564
Co3 Co 0.312 0.500 0.040
Co4 Co 0.401 0.000 0.204
Cu1 Cu 0.152 0.000 0.720
Cu2 Cu 0.414 0.500 0.469
```

Values from the calculation:
The energy above the lowest structure with this stoichiometry is 0.000 eV/atom. The formation energy from the elements comes out at 0.65 eV/f.u.


(4)
Nd2Ho3Tm6Sc | GGA-PBE | optimized geometry

```
data_Nd2Ho3Tm6Sc
_cell_length_a 6.075
_cell_length_b 10.517
_cell_length_c 11.640
_cell_angle_alpha 90.00
_cell_angle_beta 99.99
_cell_angle_gamma 90.00
_space_group_name_H-M_alt 'C 1 2/m 1'
_space_group_IT_number 12
loop_
_space_group_symop_operation_xyz
'x,y,z'
'-x,-y,-z'
'-x,y,-z'
'x,-y,z'
'x+1/2,y+1/2,z'
'-x+1/2,-y+1/2,-z'
'-x+1/2,y+1/2,-z'
'x+1/2,-y+1/2,z'
loop_
_atom_site_label
_atom_site_type_symbol
_atom_site_fract_x
_atom_site_fract_y
_atom_site_fract_z
Nd1 Nd 0.000 0.166 0.000
Ho1 Ho 0.000 0.000 0.500
Ho2 Ho 0.000 0.334 0.500
Tm1 Tm 0.247 0.500 0.749
Tm2 Tm 0.249 0.335 0.251
Sc1 Sc 0.000 0.500 0.000
```

Values from the calculation:
The formation energy from the elements comes out at 0.35 eV/f.u.


(5)
KInPb | GGA-PBE | optimized geometry

```
data_KInPb
_cell_length_a 6.919
_cell_length_b 9.472
_cell_length_c 6.940
_cell_angle_alpha 90.00
_cell_angle_beta 90.00
_cell_angle_gamma 90.00
_space_group_name_H-M_alt 'C m c m'
_space_group_IT_number 63
_space_group_name_Hall '-C 2c 2'
loop_
_atom_site_label
_atom_site_type_symbol
_atom_site_fract_x
_atom_site_fract_y
_atom_site_fract_z
K1 K 0.000 0.135 0.250
In1 In 0.000 0.500 0.000
Pb1 Pb 0.000 0.248 0.750
```

Values from the calculation:
The formation energy from the elements comes out at 0.03 eV/f.u.


(6)
Pr8Tm6Tl | GGA-PBE | optimized geometry

```
data_Pr8Tm6Tl
_cell_length_a 9.3895
_cell_length_b 9.3895
_cell_length_c 6.5517
_cell_angle_alpha 90.00
_cell_angle_beta 90.00
_cell_angle_gamma 120.00
_space_group_name_H-M_alt 'P -3'
_space_group_IT_number 147
loop_
_space_group_symop_operation_xyz
'x,y,z'
'-x,-y,-z'
'-y,x-y,z'
'y,-x+y,-z'
'-x+y,-x,z'
'x-y,x,-z'
loop_
_atom_site_label
_atom_site_type_symbol
_atom_site_fract_x
_atom_site_fract_y
_atom_site_fract_z
Pr1 Pr 0.0435 0.2760 0.3209
Pr2 Pr 0.3333 0.6667 0.3520
Tm1 Tm 0.1012 0.4510 0.8364
Tl1 Tl 0.0000 0.0000 0.0000
```

Values from the calculation:
The formation energy from the elements comes out at 1.37 eV/f.u.


(7)
CaRhC3 | GGA-PBE | optimized geometry

```
data_CaRhC3
_cell_length_a 4.047
_cell_length_b 4.047
_cell_length_c 4.047
_cell_angle_alpha 90.00
_cell_angle_beta 90.00
_cell_angle_gamma 90.00
_space_group_name_H-M_alt 'P m -3 m'
_space_group_IT_number 221
_space_group_name_Hall '-P 4 2 3'
loop_
_atom_site_label
_atom_site_type_symbol
_atom_site_fract_x
_atom_site_fract_y
_atom_site_fract_z
Ca1 Ca 0.000 0.000 0.000
Rh1 Rh 0.500 0.500 0.500
C1 C 0.000 0.500 0.500
```

Values from the calculation:
The energy above the lowest structure with this stoichiometry is 0.000 eV/atom. The formation energy from the elements comes out at 8.10 eV/f.u.


(8)
ThCoNi2 | GGA-PBE | optimized geometry

```
data_ThCoNi2
_cell_length_a 3.886
_cell_length_b 3.886
_cell_length_c 4.022
_cell_angle_alpha 90.00
_cell_angle_beta 90.00
_cell_angle_gamma 90.00
_space_group_name_H-M_alt 'P 4/m m m'
_space_group_IT_number 123
_space_group_name_Hall '-P 4 2'
loop_
_atom_site_label
_atom_site_type_symbol
_atom_site_fract_x
_atom_site_fract_y
_atom_site_fract_z
Th1 Th 0.000 0.000 0.000
Co1 Co 0.500 0.500 0.000
Ni1 Ni 0.000 0.500 0.500
```

Values from the calculation:
The formation energy from the elements comes out at -0.96 eV/f.u.


(9)
Pr2DyEr4Sc | GGA-PBE | optimized geometry

```
data_Pr2DyEr4Sc
_cell_length_a 5.009
_cell_length_b 5.018
_cell_length_c 9.945
_cell_angle_alpha 90.00
_cell_angle_beta 90.01
_cell_angle_gamma 90.00
_space_group_name_H-M_alt 'P 1 2/m 1'
_space_group_IT_number 10
loop_
_space_group_symop_operation_xyz
'x,y,z'
'-x,-y,-z'
'-x,y,-z'
'x,-y,z'
loop_
_atom_site_label
_atom_site_type_symbol
_atom_site_fract_x
_atom_site_fract_y
_atom_site_fract_z
Pr1 Pr 0.000 0.000 0.000
Pr2 Pr 0.500 0.500 0.500
Dy1 Dy 0.000 0.000 0.500
Er1 Er 0.002 0.500 0.755
Er2 Er 0.499 0.000 0.246
Sc1 Sc 0.500 0.500 0.000
```

Values from the calculation:
The formation energy from the elements comes out at 0.31 eV/f.u.


(10)
ErPaCo4 | GGA-PBE | optimized geometry

```
data_ErPaCo4
_cell_length_a 7.042
_cell_length_b 7.042
_cell_length_c 7.042
_cell_angle_alpha 90.00
_cell_angle_beta 90.00
_cell_angle_gamma 90.00
_space_group_name_H-M_alt 'F -4 3 m'
_space_group_IT_number 216
_space_group_name_Hall 'F -4 2 3'
loop_
_atom_site_label
_atom_site_type_symbol
_atom_site_fract_x
_atom_site_fract_y
_atom_site_fract_z
Er1 Er 0.000 0.000 0.000
Pa1 Pa 0.250 0.250 0.250
Co1 Co 0.125 0.125 0.625
```

Values from the calculation:
The formation energy from the elements comes out at -1.56 eV/f.u.